[1]
This record from Alexandria via LeMat-Bulk describes a relaxed Li2CdOs crystal. The functional is PBE-GGA.

Cell lengths 3.8504, 3.8504, 8.1459 Å; angles 90.00, 90.00, 90.00 degrees
Last column: nearest neighbours and their distance in Å.
Space group I-4m2 (No. 119)
Inequivalent atoms, fractional coordinates:
Li: 0.0000 0.0000 0.0000 (multiplicity 2)  4 Cd 2.72, 4 Li 2.80, 4 Os 2.80
Li: 0.0000 0.5000 0.2500 (multiplicity 2)  4 Os 2.72, 4 Cd 2.80, 4 Li 2.80
Cd: 0.0000 0.0000 0.5000 (multiplicity 2)  8 Li 2.72-2.80, 4 Os 2.80
Os: 0.0000 0.5000 0.7500 (multiplicity 2)  8 Li 2.72-2.80, 4 Cd 2.80

## Properties
The calculation puts the spin magnetization at 0.00 μB per formula unit. As for the formation energy: 0.42 eV/atom.


[2]
This record from Alexandria via LeMat-Bulk describes a relaxed LiErAlNi crystal. The functional is PBE-GGA.

Cell lengths 6.4045, 6.4045, 6.4045 Å; angles 90.00, 90.00, 90.00 degrees
Last column: nearest neighbours and their distance in Å.
Space group F-43m (No. 216)
Inequivalent atoms, fractional coordinates:
Li: 0.0000 0.0000 0.0000 (multiplicity 4)  4 Er 2.77, 4 Al 2.77
Er: 0.2500 0.2500 0.7500 (multiplicity 4)  4 Li 2.77, 4 Ni 2.77
Al: 0.2500 0.2500 0.2500 (multiplicity 4)  4 Li 2.77, 4 Ni 2.77
Ni: 0.0000 0.0000 0.5000 (multiplicity 4)  4 Er 2.77, 4 Al 2.77

## Properties
The calculation puts the spin magnetization at 0.00 μB per formula unit. As for the formation energy: -0.37 eV/atom.


[3]
This record from Alexandria via LeMat-Bulk describes a relaxed CsScCdF6 crystal. The functional is PBE-GGA.

Cell lengths 7.8546, 7.9694, 11.1819 Å; angles 90.00, 90.00, 90.00 degrees
Last column: nearest neighbours and their distance in Å.
Space group Imma (No. 74)
Inequivalent atoms, fractional coordinates:
Cs: 0.0000 0.2500 0.1202 (multiplicity 4)  5 F 3.11-3.35
Sc: 0.0000 0.0000 0.5000 (multiplicity 4)  6 F 2.02-2.04
Cd: 0.2500 0.2500 0.7500 (multiplicity 4)  6 F 2.22-2.29
F: 0.0000 0.2500 0.4597 (multiplicity 4)  2 Sc 2.04
F: 0.0000 0.2500 0.8422 (multiplicity 4)  2 Cd 2.22
F: 0.1835 0.0326 0.6246 (multiplicity 16)  1 Sc 2.02

## Properties
The calculation puts the spin magnetization at 0.00 μB per formula unit. The uncorrected formation energy comes out at -3155.1 meV per atom.


[4]
This record from Alexandria via LeMat-Bulk describes a relaxed LaNdAl crystal. The functional is PBE-GGA.

Cell lengths 5.4299, 5.4299, 6.9347 Å; angles 90.00, 90.00, 120.00 degrees
Last column: nearest neighbours and their distance in Å.
Space group P6_3/mmc (No. 194)
Inequivalent atoms, fractional coordinates:
La: 0.0000 0.0000 0.0000 (multiplicity 2)  2 La 3.47, 6 Al 3.58, 6 Nd 3.58
Nd: 0.3333 0.6667 0.2500 (multiplicity 2)  5 Al 3.13-3.47
Al: 0.3333 0.6667 0.7500 (multiplicity 2)  5 Nd 3.13-3.47

## Properties
The calculation puts the spin magnetization at 0.00 μB per formula unit. As for the formation energy: -0.23 eV/atom.


[5]
This record from Alexandria via LeMat-Bulk describes a relaxed Cr5Ir crystal. The functional is PBE-GGA.

Cell lengths 4.6928, 4.6928, 3.9945 Å; angles 90.00, 90.00, 120.00 degrees
Last column: nearest neighbours and their distance in Å.
Space group P6/mmm (No. 191)
Inequivalent atoms, fractional coordinates:
Cr: 0.0000 0.5000 0.0000 (multiplicity 3)  8 Cr 2.35-2.41
Cr: 0.3333 0.6667 0.5000 (multiplicity 2)  6 Cr 2.41
Ir: 0.0000 0.0000 0.5000 (multiplicity 1)  6 Cr 2.71

## Properties
The calculation puts the spin magnetization at 0.00 μB per formula unit. As for the formation energy: 0.32 eV/atom.


[6]
This record from Alexandria via LeMat-Bulk describes a relaxed AcBiH crystal. The functional is PBE-GGA.

Cell lengths 4.2154, 4.2154, 5.1768 Å; angles 90.00, 90.00, 120.00 degrees
Last column: nearest neighbours and their distance in Å.
Space group P-6m2 (No. 187)
Inequivalent atoms, fractional coordinates:
Ac: 0.0000 0.0000 0.0000 (multiplicity 1)  3 H 2.43
Bi: 0.6667 0.3333 0.5000 (multiplicity 1)  6 Ac 3.55, 6 H 3.55
H: 0.3333 0.6667 0.0000 (multiplicity 1)  3 Ac 2.43

## Properties
The calculation puts the total energy at -13.16 eV per cell. The calculation puts the spin magnetization at 0.00 μB per formula unit.